# Sr3HgAu8

A relaxed Sr3HgAu8 crystal (PBE, Alexandria via LeMat-Bulk).

Values from the calculation:
- VASP energy (eV/atom) = -3.135
- ΔE_f (meV/atom) = -505
- symmetry = No. 160

Cell and atoms, written as POSCAR:
```
Sr3HgAu8
1.0
2.9223 1.6872 9.3201
-2.9223 1.6872 9.3201
0.0000 -3.3744 9.3201
Sr Hg Au
3 1 8
Direct
0.0000 0.0000 0.0000
0.1311 0.1311 0.1311
0.6130 0.6130 0.6130
0.4905 0.4905 0.4905
0.0556 0.5615 0.5615
0.0597 0.0597 0.5672
0.0597 0.5672 0.0597
0.3109 0.3109 0.3109
0.5615 0.0556 0.5615
0.5615 0.5615 0.0556
0.5672 0.0597 0.0597
0.8112 0.8112 0.8112
```



# Mg5PaIn6

A relaxed Mg5PaIn6 crystal (PBE, Alexandria via LeMat-Bulk).

Values from the calculation:
- VASP energy (eV/atom) = -2.881
- ΔE_f (meV/atom) = -56
- symmetry = No. 12

Cell and atoms, written as POSCAR:
```
Mg5PaIn6
1.0
4.4516 -7.7751 0.0000
4.4516 7.7751 0.0000
-2.8059 0.0000 4.1421
Mg Pa In
5 1 6
Direct
0.0000 0.0000 0.0000
0.1756 0.8244 0.5000
0.3387 0.6613 0.0000
0.6613 0.3387 0.0000
0.8244 0.1756 0.5000
0.5000 0.5000 0.5000
0.0691 0.4065 0.2386
0.2266 0.2266 0.7252
0.4065 0.0691 0.2386
0.5935 0.9309 0.7614
0.7734 0.7734 0.2748
0.9309 0.5935 0.7614
```



# AgI5

A relaxed AgI5 crystal (PBE, Alexandria via LeMat-Bulk).

Values from the calculation:
- VASP energy (eV/atom) = -1.779
- symmetry = No. 11
- ΔE_f (raw) (meV/atom) = -12

Cell and atoms, written as POSCAR:
```
AgI5
1.0
3.9777 0.0000 0.0000
0.0000 17.3473 0.0000
-0.0035 0.0000 8.7522
Ag I
2 10
Direct
0.0070 0.2500 0.4621
0.9930 0.7500 0.5379
0.0003 0.0828 0.9683
0.0004 0.2500 0.0289
0.0003 0.4172 0.9683
0.9997 0.5828 0.0317
0.9996 0.7500 0.9711
0.9997 0.9172 0.0317
0.4930 0.6379 0.5280
0.4930 0.8621 0.5280
0.5070 0.1379 0.4720
0.5070 0.3621 0.4720
```



Which value of VASP energy does entry 2 give? -2.881 eV/atom